No. 1
This record from the Alexandria database describes a geometry-optimized Th4GaRu structure. The functional is PBE.

Cell: 7.282 7.282 6.058 Å, 90.00 90.00 90.00°
Sites, in units of the cell vectors:
Th: 0.153 0.326 0.000
Th: 0.153 0.674 0.500
Th: 0.326 0.153 0.500
Th: 0.326 0.847 0.000
Th: 0.674 0.153 0.000
Th: 0.674 0.847 0.500
Th: 0.847 0.326 0.500
Th: 0.847 0.674 0.000
Ga: 0.500 0.500 0.250
Ga: 0.500 0.500 0.750
Ru: 0.000 0.000 0.250
Ru: 0.000 0.000 0.750

DOS at the Fermi energy = 17.13 states/eV/cell
Raw total energy = -44.09 eV/f.u.
Space-group type = P4/mcc

***

No. 2
This record from the Alexandria database describes a geometry-optimized SrPb structure. The functional is PBE.

Cell: 12.433 9.825 8.098 Å, 87.29 52.13 40.58°
Sites, in units of the cell vectors:
Sr: 0.008 0.008 0.742
Sr: 0.258 0.258 0.992
Sr: 0.742 0.742 0.008
Sr: 0.992 0.992 0.258
Pb: 0.275 0.475 0.275
Pb: 0.475 0.275 0.475
Pb: 0.525 0.725 0.525
Pb: 0.725 0.525 0.725

DOS at the Fermi energy = 2.82 states/eV/cell
Raw total energy = -6.32 eV/f.u.
Space-group type = Fddd

***

No. 3
This record from the Alexandria database describes a geometry-optimized Zr2TiIn2 structure. The functional is PBE.

Cell: 7.483 7.483 4.000 Å, 90.00 90.00 90.00°
Sites, in units of the cell vectors:
Zr: 0.172 0.328 0.000
Zr: 0.328 0.828 0.000
Zr: 0.672 0.172 0.000
Zr: 0.828 0.672 0.000
Ti: 0.000 0.000 0.500
Ti: 0.500 0.500 0.500
In: 0.133 0.633 0.500
In: 0.367 0.133 0.500
In: 0.633 0.867 0.500
In: 0.867 0.367 0.500

DOS at the Fermi energy = 8.64 states/eV/cell
Raw total energy = -30.95 eV/f.u.
Space-group type = P4/mbm

***

No. 4
This record from the Alexandria database describes a geometry-optimized Ti2BeHRh structure. The functional is PBE.

Cell: 3.982 3.982 3.612 Å, 90.00 90.00 90.00°
Sites, in units of the cell vectors:
Ti: 0.000 0.500 0.000
Ti: 0.500 0.000 0.000
Be: 0.000 0.000 0.500
H: 0.000 0.000 0.000
Rh: 0.500 0.500 0.500

DOS at the Fermi energy = 4.36 states/eV/cell
Raw total energy = -32.08 eV/f.u.
Space-group type = P4/mmm

***

No. 5
This record from the Alexandria database describes a geometry-optimized ZrCS2 structure. The functional is PBE.

Cell: 6.257 6.257 6.257 Å, 90.00 90.00 90.00°
Sites, in units of the cell vectors:
Zr: 0.000 0.000 0.000
Zr: 0.000 0.500 0.500
Zr: 0.500 0.000 0.500
Zr: 0.500 0.500 0.000
C: 0.000 0.000 0.500
C: 0.000 0.500 0.000
C: 0.500 0.000 0.000
C: 0.500 0.500 0.500
S: 0.250 0.250 0.250
S: 0.250 0.250 0.750
S: 0.250 0.750 0.250
S: 0.250 0.750 0.750
S: 0.750 0.250 0.250
S: 0.750 0.250 0.750
S: 0.750 0.750 0.250
S: 0.750 0.750 0.750

Formation energy without anion corrections = 694 meV per atom
DOS at the Fermi energy = 16.98 states/eV/cell
Raw total energy = -23.25 eV/f.u.
Space-group type = Fm-3m

***

No. 6
This record from the Alexandria database describes a geometry-optimized BeSi2Ir structure. The functional is PBE.

Cell: 4.321 2.952 8.535 Å, 90.00 90.00 90.00°
Sites, in units of the cell vectors:
Be: 0.000 0.000 0.000
Be: 0.000 0.500 0.500
Si: 0.000 0.000 0.279
Si: 0.000 0.500 0.779
Si: 0.500 0.000 0.429
Si: 0.500 0.500 0.929
Ir: 0.500 0.000 0.142
Ir: 0.500 0.500 0.642

Formation energy without anion corrections = -264 meV per atom
DOS at the Fermi energy = 1.55 states/eV/cell
Raw total energy = -24.49 eV/f.u.
Space-group type = Amm2

***

No. 7
This record from the Alexandria database describes a geometry-optimized Pm2SiRh2 structure. The functional is PBE.

Cell: 5.710 5.710 7.605 Å, 101.67 101.67 58.95°
Sites, in units of the cell vectors:
Pm: 0.014 0.284 0.149
Pm: 0.284 0.014 0.649
Pm: 0.716 0.986 0.351
Pm: 0.986 0.716 0.851
Si: 0.375 0.625 0.250
Si: 0.625 0.375 0.750
Rh: 0.245 0.501 0.496
Rh: 0.499 0.755 0.004
Rh: 0.501 0.245 0.996
Rh: 0.755 0.499 0.504

Formation energy without anion corrections = -864 meV per atom
DOS at the Fermi energy = 7.69 states/eV/cell
Raw total energy = -33.95 eV/f.u.
Space-group type = C2/c

***

No. 8
This record from the Alexandria database describes a geometry-optimized TcMo3I structure. The functional is PBE.

Cell: 4.778 4.778 4.778 Å, 90.00 90.00 90.00°
Sites, in units of the cell vectors:
Tc: 0.000 0.000 0.000
Mo: 0.000 0.000 0.500
Mo: 0.000 0.500 0.000
Mo: 0.500 0.000 0.000
I: 0.500 0.500 0.500

Formation energy without anion corrections = 1745 meV per atom
DOS at the Fermi energy = 6.52 states/eV/cell
Raw total energy = -35.68 eV/f.u.
Space-group type = Pm-3m